Record 1
Density functional theory data (GGA-PBE) for crystalline TaTc2As at its relaxed geometry.

Unit cell a=8.1865 b=8.1865 c=8.1865 alpha=21.56 beta=21.56 gamma=21.56
Last column: nearest neighbours and their distance in Å.
Positions (direct):
As 0.2500 0.2500 0.2500  6 Tc 2.65
Tc 0.9988 0.9988 0.9988  3 As 2.65, 3 Ta 2.69
Tc 0.5012 0.5012 0.5012  3 As 2.65, 3 Ta 2.69
Ta 0.7500 0.7500 0.7500  6 Tc 2.69

Calculated values
The calculation puts the formation energy at 0.25 eV/f.u.


Record 2
Density functional theory data (GGA-PBE) for crystalline La12PmY3 at its relaxed geometry.

Unit cell a=5.2256 b=5.2256 c=20.8773 alpha=90.00 beta=90.00 gamma=90.00
Last column: nearest neighbours and their distance in Å.
Positions (direct):
La 0.5000 0.5000 0.0000  4 Pm 3.70, 8 La 3.70
La 0.5000 0.5000 0.2502  8 La 3.69, 4 Y 3.70
La 0.5000 0.5000 0.5000  8 La 3.69, 4 Y 3.70
La 0.5000 0.5000 0.7498  8 La 3.69, 4 Y 3.70
La 0.5000 0.0000 0.1254  8 La 3.69-3.70, 2 Y 3.70, 2 Pm 3.70
La 0.5000 0.0000 0.3752  4 Y 3.69, 8 La 3.69-3.70
La 0.5000 0.0000 0.6248  4 Y 3.69, 8 La 3.69-3.70
La 0.5000 0.0000 0.8746  8 La 3.69-3.70, 2 Y 3.70, 2 Pm 3.70
La 0.0000 0.5000 0.1254  8 La 3.69-3.70, 2 Y 3.70, 2 Pm 3.70
La 0.0000 0.5000 0.3752  4 Y 3.69, 8 La 3.69-3.70
La 0.0000 0.5000 0.6248  4 Y 3.69, 8 La 3.69-3.70
La 0.0000 0.5000 0.8746  8 La 3.69-3.70, 2 Y 3.70, 2 Pm 3.70
Pm 0.0000 0.0000 0.0000  12 La 3.70
Y 0.0000 0.0000 0.2506  12 La 3.69-3.70
Y 0.0000 0.0000 0.5000  12 La 3.69-3.70
Y 0.0000 0.0000 0.7494  12 La 3.69-3.70

Calculated values
The calculation puts the formation energy at 0.11 eV/f.u.